Here is a geometry-optimized CoSb2Cl2O3 structure from OQMD. Energies are from GGA+U.

Values from the calculation:
Calculated total energy in eV/atom: -5.1706
Spin magnetization in μB per formula unit: 3.00

Unit cell a=5.2825 b=7.5505 c=7.9875 alpha=88.47 beta=81.44 gamma=80.28
Last column: nearest neighbours and their distance in Å.
Space group P-1 (No. 2)
Symmetry-distinct sites (fractional):
Co: 0.0182 0.4840 0.2901  4 O 1.99-2.23
Sb: 0.3981 0.7108 0.9752  3 O 2.02-2.05
Sb: 0.4382 0.7205 0.5254  3 O 2.04-2.17
Cl: 0.1500 0.2104 0.7765  1 Co 2.40
Cl: 0.2570 0.1362 0.2990  2 Sb 2.66-2.97, 1 Co 2.72
O: 0.2632 0.4923 0.4712  2 Sb 2.06-2.17, 2 Co 2.09-2.23
O: 0.2690 0.6549 0.7606  2 Sb 2.02-2.04, 1 Co 2.08
O: 0.2818 0.4828 0.0842  1 Co 1.99, 2 Sb 2.05